! Tb2Ti2O7 SCAN single point on PBEsol structure; values from VASP
! Magnetic moment   0.00 μB/f.u.
! ρ   6.84 g/cm³
! Uncorrected energy   -19.0579 eV per atom
! Uncorrected formation energy   -3.68 eV per atom
&SYSTEM
  ibrav = 0, nat = 44, ntyp = 3
/
ATOMIC_SPECIES
Tb 158.93 Tb.upf
Ti 47.87 Ti.upf
O 16.00 O.upf
CELL_PARAMETERS angstrom
7.471 0.000 0.000
0.000 5.305 0.000
-1.904 0.000 12.874
ATOMIC_POSITIONS angstrom
Tb 0.939 0.000 0.822
Tb 0.939 3.136 5.442
Tb 0.925 0.606 8.133
Tb 0.956 3.072 11.390
Tb 4.611 0.420 1.484
Tb 4.642 3.258 4.741
Tb 4.628 0.484 7.432
Tb 4.628 2.652 12.052
Ti -0.956 3.148 8.002
Ti -1.031 0.405 10.563
Ti 2.745 3.007 2.221
Ti 2.795 0.500 4.823
Ti 2.772 3.152 8.051
Ti 2.822 0.355 10.653
Ti 6.598 3.058 2.311
Ti 6.523 0.496 4.872
O -1.207 4.916 8.740
O -0.574 1.705 6.741
O -1.170 4.227 11.683
O -0.432 2.149 9.434
O -0.741 1.558 11.993
O 0.934 3.633 2.412
O 0.921 0.085 4.954
O 0.912 3.735 7.612
O 0.908 5.216 10.363
O 2.517 1.403 1.500
O 2.978 4.096 0.682
O 2.555 2.274 4.149
O 2.408 1.718 6.763
O 2.236 2.146 9.471
O 3.331 4.798 3.403
O 3.159 4.371 6.110
O 3.012 4.927 8.725
O 2.589 1.443 12.192
O 3.050 4.055 11.374
O 4.659 2.564 2.511
O 4.655 1.082 5.262
O 4.646 2.737 7.920
O 4.633 0.981 10.462
O 6.308 4.210 0.880
O 5.999 4.802 3.440
O 6.737 1.574 1.191
O 6.141 4.357 6.132
O 6.774 2.263 4.134



! Tb2TiO5 SCAN single point on PBEsol structure; values from VASP
! Magnetic moment   0.00 μB/f.u.
! ρ   7.20 g/cm³
! Uncorrected energy   -21.3081 eV per atom
! Uncorrected formation energy   -3.72 eV per atom
&SYSTEM
  ibrav = 0, nat = 32, ntyp = 3
/
ATOMIC_SPECIES
Tb 158.93 Tb.upf
Ti 47.87 Ti.upf
O 16.00 O.upf
CELL_PARAMETERS angstrom
7.460 0.000 0.000
0.000 3.585 0.000
0.000 0.000 15.378
ATOMIC_POSITIONS angstrom
Tb 0.980 0.896 3.713
Tb 1.057 0.896 8.842
Tb 2.673 2.689 1.153
Tb 2.750 2.689 11.402
Tb 4.710 0.896 3.976
Tb 4.787 0.896 14.226
Tb 6.403 2.689 6.537
Tb 6.480 2.689 11.665
Ti 1.001 0.896 14.163
Ti 2.729 2.689 6.474
Ti 4.731 0.896 8.904
Ti 6.459 2.689 1.215
O 0.660 2.689 2.296
O 0.778 2.689 10.306
O 0.785 2.689 14.796
O 1.066 2.689 7.489
O 1.763 2.689 4.925
O 1.967 0.896 12.614
O 2.664 0.896 15.178
O 2.945 0.896 7.107
O 2.952 0.896 2.617
O 3.070 0.896 9.985
O 4.390 2.689 5.393
O 4.508 2.689 12.761
O 4.515 2.689 8.271
O 4.796 2.689 0.200
O 5.493 2.689 2.764
O 5.697 0.896 10.453
O 6.395 0.896 7.889
O 6.675 0.896 0.582
O 6.682 0.896 5.072
O 6.800 0.896 13.082



! Tb2Ti2O7 SCAN single point on PBEsol structure; values from VASP
! Magnetic moment   0.00 μB/f.u.
! ρ   6.82 g/cm³
! Uncorrected energy   -19.0419 eV per atom
! Uncorrected formation energy   -3.66 eV per atom
&SYSTEM
  ibrav = 0, nat = 22, ntyp = 3
/
ATOMIC_SPECIES
Tb 158.93 Tb.upf
Ti 47.87 Ti.upf
O 16.00 O.upf
CELL_PARAMETERS angstrom
0.000 5.040 5.040
5.040 0.000 5.040
5.040 5.040 0.000
ATOMIC_POSITIONS angstrom
Tb 0.000 0.000 0.000
Tb 2.520 2.520 0.000
Tb 2.520 0.000 2.520
Tb 0.000 2.520 2.520
Ti 5.040 2.520 2.520
Ti 2.520 5.040 2.520
Ti 2.520 2.520 5.040
Ti 5.040 5.040 5.040
O 1.260 1.260 1.260
O 3.780 3.780 1.710
O 3.780 1.710 3.780
O 5.850 3.780 3.780
O 6.300 6.300 4.230
O 6.300 4.230 6.300
O 8.369 6.300 6.300
O 1.710 3.780 3.780
O 3.780 5.850 3.780
O 3.780 3.780 5.850
O 4.230 6.300 6.300
O 6.300 8.369 6.300
O 6.300 6.300 8.369
O 8.819 8.819 8.819



! TbTiO3 SCAN single point on PBEsol structure; values from VASP
! Magnetic moment   1.00 μB/f.u.
! ρ   7.45 g/cm³
! Uncorrected energy   -19.8509 eV per atom
! Uncorrected formation energy   -3.55 eV per atom
&SYSTEM
  ibrav = 0, nat = 20, ntyp = 3
/
ATOMIC_SPECIES
Tb 158.93 Tb.upf
Ti 47.87 Ti.upf
O 16.00 O.upf
CELL_PARAMETERS angstrom
5.665 0.000 0.000
0.000 7.596 0.000
0.000 0.000 5.282
ATOMIC_POSITIONS angstrom
Tb 0.412 1.899 0.118
Tb 2.420 5.697 2.758
Tb 3.244 1.899 2.523
Tb 5.252 5.697 5.164
Ti 0.000 0.000 2.641
Ti 0.000 3.798 2.641
Ti 2.832 0.000 0.000
Ti 2.832 3.798 0.000
O 0.243 5.697 2.016
O 1.124 4.225 4.276
O 1.124 7.168 4.276
O 1.708 0.427 1.635
O 1.708 3.370 1.635
O 2.589 1.899 4.657
O 3.075 5.697 0.624
O 3.956 4.225 3.646
O 3.956 7.168 3.646
O 4.541 0.427 1.006
O 4.541 3.370 1.006
O 5.422 1.899 3.265



! TbTmO3 SCAN single point on PBEsol structure; values from VASP
! Magnetic moment   0.00 μB/f.u.
! ρ   9.29 g/cm³
! Uncorrected energy   -27.3506 eV per atom
! Uncorrected formation energy   -3.89 eV per atom
&SYSTEM
  ibrav = 0, nat = 20, ntyp = 3
/
ATOMIC_SPECIES
Tb 158.93 Tb.upf
Tm 168.93 Tm.upf
O 16.00 O.upf
CELL_PARAMETERS angstrom
5.850 0.000 0.000
0.000 8.238 0.000
0.000 0.000 5.576
ATOMIC_POSITIONS angstrom
Tb 0.334 2.060 0.123
Tb 2.591 6.179 2.911
Tb 3.258 2.060 2.665
Tb 5.516 6.179 5.453
Tm 0.000 0.000 2.788
Tm 0.000 4.119 2.788
Tm 2.925 0.000 0.000
Tm 2.925 4.119 0.000
O 0.433 6.179 1.969
O 1.120 4.768 4.527
O 1.120 7.589 4.527
O 1.805 0.649 1.739
O 1.805 3.470 1.739
O 2.492 2.060 4.757
O 3.358 6.179 0.820
O 4.045 4.768 3.837
O 4.045 7.589 3.837
O 4.729 0.649 1.049
O 4.729 3.470 1.049
O 5.417 2.060 3.608



! TbVO4 SCAN single point on PBEsol structure; values from VASP
! Magnetic moment   0.00 μB/f.u.
! ρ   5.71 g/cm³
! Uncorrected energy   -18.1794 eV per atom
! Uncorrected formation energy   -3.32 eV per atom
&SYSTEM
  ibrav = 0, nat = 12, ntyp = 3
/
ATOMIC_SPECIES
Tb 158.93 Tb.upf
V 50.94 V.upf
O 16.00 O.upf
CELL_PARAMETERS angstrom
-3.568 3.568 3.126
3.568 -3.568 3.126
3.568 3.568 -3.126
ATOMIC_POSITIONS angstrom
Tb 3.568 1.784 0.782
Tb 0.000 1.784 2.345
V 3.568 -1.784 2.345
V 0.000 5.352 0.782
O 3.568 -0.470 1.251
O 3.568 3.098 -1.251
O 1.314 1.784 0.312
O 2.254 -1.784 3.439
O 1.314 5.352 -0.312
O 2.254 1.784 2.814
O 0.000 0.470 4.378
O 0.000 4.038 1.875



Q: Which formula does entry 5 have?
A: TbTmO3



Q: Which value of uncorrected formation energy does entry 4 give?
A: -3.55 eV per atom